# MnTl2Cd

A relaxed structure of MnTl2Cd (PBEsol, Alexandria via LeMat-Bulk).

a b c (Å): 5.9376 5.9376 3.1959
angles (deg): 104.55 104.55 115.52
Fractional positions:
Mn1 0.0000 0.0000 0.0000
Tl1 0.0000 0.5000 0.5000
Tl2 0.5000 0.0000 0.5000
Cd1 0.5000 0.5000 0.0000

Properties
**Energy of formation from the pure elements**: 0.44 eV/atom
**Relative energy among the computed polymorphs**: 0.0374 eV/atom
**Uncorrected energy**: -3.614 eV/atom
**Spin magnetization**: 3.91 μB/cell

# Rb3I2Br

A relaxed structure of Rb3I2Br (PBEsol, Alexandria via LeMat-Bulk).

a b c (Å): 8.7836 8.7836 8.7836
angles (deg): 146.95 131.94 59.57
Fractional positions:
Rb1 0.0000 0.0000 0.0000
Rb2 0.3445 0.3445 0.0000
Rb3 0.6555 0.6555 0.0000
I1 0.1700 0.6700 0.5000
I2 0.8300 0.3300 0.5000
Br1 0.5000 0.0000 0.5000

Properties
**Formation energy from raw total energies**: -1.552 eV per atom
**Uncorrected energy**: -2.965 eV/atom
**Spin magnetization**: 0.00 μB/cell

# TlRe2Sb

A relaxed structure of TlRe2Sb (PBEsol, Alexandria via LeMat-Bulk).

a b c (Å): 10.5995 10.5995 10.5995
angles (deg): 16.10 16.10 16.10
Fractional positions:
Tl1 0.0000 0.0000 0.0000
Re1 0.4790 0.4790 0.4790
Re2 0.7499 0.7499 0.7499
Sb1 0.2195 0.2195 0.2195

Properties
**Formation energy from raw total energies**: 0.508 eV per atom
**Relative energy among the computed polymorphs**: 0.0000 eV/atom
**Uncorrected energy**: -7.954 eV/atom
**Spin magnetization**: 0.00 μB/cell

# LiSiTe2I

A relaxed structure of LiSiTe2I (PBEsol, Alexandria via LeMat-Bulk).

a b c (Å): 4.9868 4.9868 5.2323
angles (deg): 90.00 90.00 90.00
Fractional positions:
Li1 0.0000 0.0000 0.0000
Si1 0.5000 0.5000 0.5000
Te1 0.0000 0.5000 0.0000
Te2 0.5000 0.0000 0.0000
I1 0.0000 0.0000 0.5000

Properties
**Formation energy from raw total energies**: 0.412 eV per atom
**Uncorrected energy**: -2.894 eV/atom
**Spin magnetization**: 0.00 μB/cell

# HgSeBr

A relaxed structure of HgSeBr (PBEsol, Alexandria via LeMat-Bulk).

a b c (Å): 4.8146 4.8146 4.8146
angles (deg): 60.00 60.00 60.00
Fractional positions:
Hg1 0.0000 0.0000 0.0000
Se1 0.7500 0.7500 0.7500
Br1 0.2500 0.2500 0.2500

Properties
**Formation energy from raw total energies**: 0.255 eV per atom
**Relative energy among the computed polymorphs**: 0.2711 eV/atom
**Uncorrected energy**: -1.841 eV/atom
**Spin magnetization**: 0.00 μB/cell

# P4S7

A relaxed structure of P4S7 (PBEsol, Alexandria via LeMat-Bulk).

a b c (Å): 6.7667 17.0473 10.7850
angles (deg): 90.00 124.02 90.00
Fractional positions:
P1 0.0064 0.0437 0.2305
P2 0.0064 0.4563 0.7305
P3 0.1328 0.2160 0.1533
P4 0.1328 0.2840 0.6533
P5 0.4186 0.1702 0.5068
P6 0.4186 0.3298 0.0068
P7 0.4352 0.1248 0.2180
P8 0.4352 0.3752 0.7180
P9 0.5648 0.6248 0.2820
P10 0.5648 0.8752 0.7820
P11 0.5814 0.6702 0.9932
P12 0.5814 0.8298 0.4932
P13 0.8672 0.7160 0.3467
P14 0.8672 0.7840 0.8467
P15 0.9936 0.5437 0.2695
P16 0.9936 0.9563 0.7695
S1 0.1602 0.6416 0.4061
S2 0.1602 0.8584 0.9061
S3 0.1789 0.0774 0.4580
S4 0.1789 0.4226 0.9580
S5 0.2107 0.0400 0.8036
S6 0.2107 0.4600 0.3036
S7 0.2351 0.2357 0.8633
S8 0.2351 0.2643 0.3633
S9 0.2671 0.0150 0.1911
S10 0.2671 0.4850 0.6911
S11 0.3381 0.6390 0.0462
S12 0.3381 0.8610 0.5462
S13 0.4245 0.6954 0.7824
S14 0.4245 0.8046 0.2824
S15 0.5755 0.1954 0.7176
S16 0.5755 0.3046 0.2176
S17 0.6619 0.1390 0.4538
S18 0.6619 0.3610 0.9538
S19 0.7329 0.5150 0.3089
S20 0.7329 0.9850 0.8089
S21 0.7649 0.7357 0.6367
S22 0.7649 0.7643 0.1367
S23 0.7893 0.5400 0.6964
S24 0.7893 0.9600 0.1964
S25 0.8211 0.5774 0.0420
S26 0.8211 0.9226 0.5420
S27 0.8398 0.1416 0.0939
S28 0.8398 0.3584 0.5939

Properties
**Formation energy from raw total energies**: -0.170 eV per atom
**Uncorrected energy**: -5.065 eV/atom
**Spin magnetization**: 0.00 μB/cell